Record 1
Density functional theory data (PBE-GGA) for crystalline Sm3ZnIn at its relaxed geometry.

Summary:
D(E_F)   22.31 states/eV/cell
Distance to the lowest polymorph of the same formula   7.33 kJ per mole of atoms
E_form   -0.210 eV per atom

CIF file:
```
data_Sm3ZnIn
_chemical_formula_sum 'Sm12 Zn4 In4'
_cell_length_a 9.289
_cell_length_b 6.070
_cell_length_c 11.785
_cell_angle_alpha 90.00
_cell_angle_beta 123.53
_cell_angle_gamma 90.00
_space_group_name_H-M_alt 'P 1 21/c 1'
_space_group_IT_number 14
loop_
_space_group_symop_operation_xyz
'x,y,z'
'-x,-y,-z'
'-x,y+1/2,-z+1/2'
'x,-y+1/2,z+1/2'
loop_
_atom_site_label
_atom_site_type_symbol
_atom_site_fract_x
_atom_site_fract_y
_atom_site_fract_z
Sm1 Sm 0.004 0.112 0.157
Sm2 Sm 0.314 0.583 0.965
Sm3 Sm 0.385 0.092 0.170
Zn1 Zn 0.348 0.110 0.890
In1 In 0.148 0.632 0.146
```

=====

Record 2
Density functional theory data (PBE-GGA) for crystalline In2Pt9Au at its relaxed geometry.

Summary:
D(E_F)   16.37 states/eV/cell
E_form   -0.218 eV per atom

CIF file:
```
data_In2Pt9Au
_chemical_formula_sum 'In2 Pt9 Au1'
_cell_length_a 4.043
_cell_length_b 4.043
_cell_length_c 12.087
_cell_angle_alpha 90.00
_cell_angle_beta 90.00
_cell_angle_gamma 90.00
_space_group_name_H-M_alt 'P 4/m m m'
_space_group_IT_number 123
_space_group_name_Hall '-P 4 2'
loop_
_atom_site_label
_atom_site_type_symbol
_atom_site_fract_x
_atom_site_fract_y
_atom_site_fract_z
In1 In 0.000 0.000 0.169
Pt1 Pt 0.000 0.500 0.000
Pt2 Pt 0.000 0.500 0.334
Pt3 Pt 0.500 0.500 0.166
Pt4 Pt 0.500 0.500 0.500
Au1 Au 0.000 0.000 0.500
```

=====

Record 3
Density functional theory data (PBE-GGA) for crystalline NaCa2Te2 at its relaxed geometry.

Summary:
D(E_F)   1.35 states/eV/cell
Energy relative to the elements, uncorrected   -5.77 eV per formula unit
Distance to the lowest polymorph of the same formula   0.00 kJ per mole of atoms

CIF file:
```
data_NaCa2Te2
_chemical_formula_sum 'Na2 Ca4 Te4'
_cell_length_a 8.593
_cell_length_b 8.593
_cell_length_c 4.196
_cell_angle_alpha 90.00
_cell_angle_beta 90.00
_cell_angle_gamma 90.00
_space_group_name_H-M_alt 'P 4/m b m'
_space_group_IT_number 127
_space_group_name_Hall '-P 4 2ab'
loop_
_atom_site_label
_atom_site_type_symbol
_atom_site_fract_x
_atom_site_fract_y
_atom_site_fract_z
Na1 Na 0.000 0.000 0.000
Ca1 Ca 0.150 0.350 0.500
Te1 Te 0.156 0.656 0.000
```